Entry from Alexandria via LeMat-Bulk: a geometry-optimized BaSmDy2 structure (PBE).

ΔH_f (0 K) = 0.228 eV per atom
symmetry = R-3m
magnetic moment = 0.0 μB/cell

Geometry as extended XYZ:
```
4
Lattice="1.813 1.047 12.917 -1.813 1.047 12.917 0.000 -2.094 12.917" Properties=species:S:1:pos:R:3 pbc="T T T"
Ba 0.000 0.000 0.000
Sm 0.000 0.000 19.375
Dy 0.000 0.000 3.616
Dy 0.000 0.000 35.135
```

Entry from Alexandria via LeMat-Bulk: a geometry-optimized Ba3Sm2DyTe6 structure (PBE).

ΔE_f (raw) = -1547 meV/atom
symmetry = C2/m
magnetic moment = 0.0 μB/cell

Geometry as extended XYZ:
```
12
Lattice="4.000 -6.915 0.000 4.000 6.915 0.000 -2.665 0.000 7.849" Properties=species:S:1:pos:R:3 pbc="T T T"
Ba 0.000 0.000 0.000
Ba 4.000 2.333 0.000
Ba 4.000 -2.333 0.000
Sm 2.667 4.623 3.925
Sm 2.667 -4.623 3.925
Dy 2.667 0.000 3.925
Te 1.355 2.273 2.212
Te 0.043 0.000 5.654
Te 1.355 -2.273 2.212
Te 3.980 2.273 5.637
Te 5.292 0.000 2.195
Te 3.980 -2.273 5.637
```

Entry from Alexandria via LeMat-Bulk: a geometry-optimized Ba3SmDy2Te6 structure (PBE).

ΔE_f (raw) = -1532 meV/atom
symmetry = C2/m
magnetic moment = 0.0 μB/cell

Geometry as extended XYZ:
```
12
Lattice="3.983 -6.886 0.000 3.983 6.886 0.000 -2.653 0.000 7.834" Properties=species:S:1:pos:R:3 pbc="T T T"
Ba 0.000 0.000 0.000
Ba 3.983 2.268 0.000
Ba 3.983 -2.268 0.000
Sm 2.656 0.000 3.917
Dy 2.656 4.579 3.917
Dy 2.656 -4.579 3.917
Te 1.308 2.328 2.212
Te -0.039 0.000 5.604
Te 1.308 -2.328 2.212
Te 4.004 2.328 5.621
Te 5.352 0.000 2.229
Te 4.004 -2.328 5.621
```

Entry from Alexandria via LeMat-Bulk: a geometry-optimized BaDySn2 structure (PBE).

ΔH_f (0 K) = -0.622 eV per atom
symmetry = P4/mmm
magnetic moment = 0.0 μB/cell

Geometry as extended XYZ:
```
4
Lattice="4.115 0.000 0.000 0.000 4.115 0.000 0.000 0.000 7.597" Properties=species:S:1:pos:R:3 pbc="T T T"
Ba 0.000 0.000 0.000
Dy 0.000 0.000 3.798
Sn 2.058 2.058 2.298
Sn 2.058 2.058 5.298
```

Entry from Alexandria via LeMat-Bulk: a geometry-optimized BaDySn2 structure (PBE).

ΔH_f (0 K) = -0.469 eV per atom
symmetry = R-3m
magnetic moment = 0.0 μB/cell

Geometry as extended XYZ:
```
4
Lattice="2.540 1.467 6.429 -2.540 1.467 6.429 0.000 -2.933 6.429" Properties=species:S:1:pos:R:3 pbc="T T T"
Ba 0.000 0.000 0.000
Dy 0.000 0.000 9.644
Sn 0.000 0.000 4.332
Sn 0.000 0.000 14.955
```

Entry from Alexandria via LeMat-Bulk: a geometry-optimized BaDySn structure (PBE).

ΔH_f (0 K) = -0.565 eV per atom
symmetry = P4/nmm
magnetic moment = 2.0 μB/cell

Geometry as extended XYZ:
```
6
Lattice="5.052 0.000 0.000 0.000 5.052 0.000 0.000 0.000 8.865" Properties=species:S:1:pos:R:3 pbc="T T T"
Ba 1.263 1.263 1.311
Ba 3.789 3.789 7.553
Dy 1.263 3.789 4.432
Dy 3.789 1.263 4.432
Sn 1.263 1.263 6.419
Sn 3.789 3.789 2.446
```

Number 1: DOS(E_F) 1.543 states/eV/atom. Number 2: DOS(E_F) 0.456 states/eV/atom. Number 3: DOS(E_F) 0.448 states/eV/atom. Number 4: DOS(E_F) 0.505 states/eV/atom. Number 5: DOS(E_F) 1.130 states/eV/atom. Number 6: DOS(E_F) 0.553 states/eV/atom.